# 1
# BeTc2Br

An optimized crystal structure of BeTc2Br (PBE-GGA, Alexandria).

Formation energy from raw total energies: 0.725 eV/atom
Total moment: 0.00 μB per formula unit
N(E_F): 0.76 states/eV per atom

a = 4.898 Å, b = 4.898 Å, c = 4.898 Å
α = 142.90°, β = 124.70°, γ = 68.48°
Sites, in units of the cell vectors:
Br  0.250  0.750  0.500
Be  0.750  0.250  0.500
Tc  0.952  0.952  0.000
Tc  0.548  0.548  0.000



# 2
# Be2TcBr

An optimized crystal structure of Be2TcBr (PBE-GGA, Alexandria).

Formation energy from raw total energies: 0.554 eV/atom
Total moment: 0.00 μB per formula unit
N(E_F): 0.62 states/eV per atom

a = 4.277 Å, b = 4.277 Å, c = 4.799 Å
α = 92.05°, β = 92.05°, γ = 44.71°
Sites, in units of the cell vectors:
Br  0.750  0.750  0.750
Be  0.950  0.950  0.141
Be  0.550  0.550  0.359
Tc  0.250  0.250  0.250



# 3
# BeTcBr2

An optimized crystal structure of BeTcBr2 (PBE-GGA, Alexandria).

Formation energy from raw total energies: 0.902 eV/atom
Total moment: 2.22 μB per formula unit
N(E_F): 0.61 states/eV per atom

a = 5.530 Å, b = 5.379 Å, c = 3.420 Å
α = 68.35°, β = 95.69°, γ = 123.06°
Site moments in Bohr magnetons follow the coordinates.
Sites, in units of the cell vectors:
Tc  0.000  0.500  0.500  2.10
Br  0.500  0.000  0.500  0.05
Br  0.000  0.000  0.000  0.05
Be  0.500  0.500  0.000  -0.09



# 4
# Be4TcBr

An optimized crystal structure of Be4TcBr (PBE-GGA, Alexandria).

Formation energy from raw total energies: 0.387 eV/atom
Total moment: 0.00 μB per formula unit
N(E_F): 0.12 states/eV per atom

a = 4.525 Å, b = 4.525 Å, c = 4.525 Å
α = 60.00°, β = 60.00°, γ = 60.00°
Sites, in units of the cell vectors:
Be  0.372  0.885  0.372
Be  0.885  0.372  0.372
Be  0.372  0.372  0.372
Be  0.372  0.372  0.885
Tc  0.000  0.000  0.000
Br  0.750  0.750  0.750



# 5
# BeTcBr2

An optimized crystal structure of BeTcBr2 (PBE-GGA, Alexandria).

Formation energy from raw total energies: 0.723 eV/atom
Total moment: 0.00 μB per formula unit
N(E_F): 0.39 states/eV per atom

a = 5.504 Å, b = 5.504 Å, c = 6.503 Å
α = 64.97°, β = 64.97°, γ = 90.00°
Sites, in units of the cell vectors:
Be  0.500  0.500  0.000
Be  0.250  0.750  0.500
Br  0.375  0.419  0.750
Br  0.581  0.125  0.250
Br  0.169  0.625  0.250
Br  0.875  0.831  0.750
Tc  0.000  0.000  0.000
Tc  0.750  0.250  0.500



# 6
# BeTc2Br

An optimized crystal structure of BeTc2Br (PBE-GGA, Alexandria).

Formation energy from raw total energies: 1.318 eV/atom
Total moment: 1.04 μB per formula unit
N(E_F): 0.82 states/eV per atom

a = 5.392 Å, b = 5.392 Å, c = 6.302 Å
α = 64.67°, β = 64.67°, γ = 90.00°
Site moments in Bohr magnetons follow the coordinates.
Sites, in units of the cell vectors:
Tc  0.580  0.125  0.250  0.53
Tc  0.875  0.830  0.750  0.47
Tc  0.170  0.625  0.250  0.52
Tc  0.375  0.420  0.750  0.46
Be  0.500  0.500  0.000  -0.01
Be  0.250  0.750  0.500  -0.01
Br  0.750  0.250  0.500  -0.01
Br  0.000  0.000  0.000  -0.01



# 7
# Be2TcBr

An optimized crystal structure of Be2TcBr (PBE-GGA, Alexandria).

Formation energy from raw total energies: 0.444 eV/atom
Total moment: 0.00 μB per formula unit
N(E_F): 0.30 states/eV per atom

a = 7.207 Å, b = 7.207 Å, c = 7.207 Å
α = 24.59°, β = 24.59°, γ = 24.59°
Sites, in units of the cell vectors:
Be  0.493  0.493  0.493
Be  0.007  0.007  0.007
Tc  0.750  0.750  0.750
Br  0.250  0.250  0.250



# 8
# Be2TcBr

An optimized crystal structure of Be2TcBr (PBE-GGA, Alexandria).

Formation energy from raw total energies: 0.296 eV/atom
Total moment: 0.00 μB per formula unit
N(E_F): 0.65 states/eV per atom

a = 3.104 Å, b = 3.165 Å, c = 6.031 Å
α = 71.27°, β = 90.00°, γ = 90.00°
Sites, in units of the cell vectors:
Be  0.000  0.153  0.927
Be  0.000  0.347  0.573
Tc  0.500  0.750  0.750
Br  0.500  0.250  0.250